A plane-wave DFT calculation with PBE was carried out for NbPdBr after structural relaxation.

**Formation energy from raw total energies**: -63 meV/atom

```
data_NbPdBr
_cell_length_a 3.2024
_cell_length_b 3.2022
_cell_length_c 13.0855
_cell_angle_alpha 90.00
_cell_angle_beta 90.00
_cell_angle_gamma 120.00
_space_group_name_H-M_alt 'P 1'
_space_group_IT_number 1
loop_
_space_group_symop_operation_xyz
'x,y,z'
loop_
_atom_site_label
_atom_site_type_symbol
_atom_site_fract_x
_atom_site_fract_y
_atom_site_fract_z
Pd1 Pd 0.3328 0.6656 0.5000
Nb1 Nb 0.6662 0.3324 0.3392
Br1 Br 0.3330 0.6660 0.8053
Pd2 Pd 0.3353 0.6706 0.0000
Nb2 Nb 0.6662 0.3324 0.6608
Br2 Br 0.3330 0.6660 0.1947
```